[1]
## LiLaBi3 (PBE)

Data for LiLaBi3 after structural relaxation.

Properties
Formation enthalpy at 0 K (meV per atom): -579
D(E_F) (states/eV/cell): 6.41
E above lowest polymorph (eV per atom): 0.000

Cell lengths 14.1443, 6.3842, 6.6263 Å; angles 90.00, 90.00, 90.00 degrees
Space group Pbcm (No. 57)
Symmetry-distinct sites (fractional):
Li  0.1087  0.2500  0.0000
La  0.3123  0.5111  0.2500
Bi  0.0744  0.7058  0.2500
Bi  0.2506  0.0054  0.2500
Bi  0.4960  0.2500  0.0000

[2]
## KTl2BiO6 (PBE)

Data for KTl2BiO6 after structural relaxation.

Properties
D(E_F) (states/eV/cell): 20.28
ΔE_f (raw) (meV/atom): -860

Cell lengths 5.9424, 5.9424, 15.8263 Å; angles 90.00, 90.00, 120.00 degrees
Space group R3 (No. 146, hexagonal axes)
Symmetry-distinct sites (fractional):
K  0.0000  0.0000  0.0000
Tl  0.0000  0.0000  0.2682
Tl  0.0000  0.0000  0.7776
Bi  0.0000  0.0000  0.4749
O  0.0034  0.3475  0.2049
O  0.0400  0.6105  0.0500